# 1
# BaTaSi2Se8

A relaxed BaTaSi2Se8 crystal (GGA-PBE, Alexandria).

Output
* total magnetization: 0.000 μB per atom
* DOS at the Fermi energy: 9.24 states/eV/f.u.
* total DFT energy (no corrections): -5.026 eV per atom
* uncorrected formation energy: -0.651 eV per atom

abc: 6.4012 6.4012 9.0268
angles: 90.00 90.00 120.00
Space group P-3 (No. 147)
Asymmetric unit:
Ba  0.0000  0.0000  0.0000 [1 per cell]
Ta  0.0000  0.0000  0.5000 [1 per cell]
Si  0.3333  0.6667  0.7348 [2 per cell]
Se  0.0173  0.6821  0.3324 [6 per cell]
Se  0.3333  0.6667  0.9851 [2 per cell]

=====

# 2
# BaSi2TeSe8

A relaxed BaSi2TeSe8 crystal (GGA-PBE, Alexandria).

Output
* total magnetization: 0.071 μB per atom
* DOS at the Fermi energy: 15.17 states/eV/f.u.
* total DFT energy (no corrections): -4.056 eV per atom
* uncorrected formation energy: -0.407 eV per atom

abc: 6.4560 6.4560 27.6512
angles: 90.00 90.00 120.00
Space group R-3 (No. 148, hexagonal axes)
Asymmetric unit:
Ba  0.0000  0.0000  0.0000 [3 per cell]
Si  0.0000  0.0000  0.2505 [6 per cell]
Te  0.0000  0.0000  0.5000 [3 per cell]
Se  0.0000  0.0000  0.3325 [6 per cell]
Se  0.0135  0.7061  0.8924 [18 per cell]

=====

# 3
# Ba2YSiSe

A relaxed Ba2YSiSe crystal (GGA-PBE, Alexandria).

Output
* total magnetization: 0.000 μB per atom
* DOS at the Fermi energy: 4.24 states/eV/f.u.
* total DFT energy (no corrections): -4.228 eV per atom
* uncorrected formation energy: -0.385 eV per atom

abc: 6.089 6.089 5.403
angles: 90.00 90.00 90.00
Space group P4/mmm (No. 123)
Asymmetric unit:
Ba  0.000  0.500  0.000 [2 per cell]
Y  0.000  0.000  0.500 [1 per cell]
Si  0.500  0.500  0.500 [1 per cell]
Se  0.000  0.000  0.000 [1 per cell]

=====

# 4
# BaSmSe2

A relaxed BaSmSe2 crystal (GGA-PBE, Alexandria).

Output
* total magnetization: 0.000 μB per atom
* DOS at the Fermi energy: 1.82 states/eV/f.u.
* total DFT energy (no corrections): -5.308 eV per atom
* energy above the most stable polymorph in this dataset: 0.0 meV/atom
* uncorrected formation energy: -1.906 eV per atom

abc: 7.539 4.351 7.837
angles: 90.00 108.60 90.00
Space group C2/m (No. 12)
Asymmetric unit:
Ba  0.000  0.000  0.000 [2 per cell]
Sm  0.000  0.500  0.500 [2 per cell]
Se  0.240  0.000  0.719 [4 per cell]

=====

Please write out number 4 again, unchanged.
# BaSmSe2

A relaxed BaSmSe2 crystal (GGA-PBE, Alexandria).

Output
* total magnetization: 0.000 μB per atom
* DOS at the Fermi energy: 1.82 states/eV/f.u.
* total DFT energy (no corrections): -5.308 eV per atom
* energy above the most stable polymorph in this dataset: 0.0 meV/atom
* uncorrected formation energy: -1.906 eV per atom

abc: 7.539 4.351 7.837
angles: 90.00 108.60 90.00
Space group C2/m (No. 12)
Asymmetric unit:
Ba  0.000  0.000  0.000 [2 per cell]
Sm  0.000  0.500  0.500 [2 per cell]
Se  0.240  0.000  0.719 [4 per cell]

=====

- Among the records above, which one has the highest total magnetization?
  BaSi2TeSe8

=====

- Which value of DOS at the Fermi energy does entry 1 give?
  9.24 states/eV/f.u.

=====

- The highest DOS at the Fermi energy belongs to which entry?
  BaSi2TeSe8